No. 1
# BaAcBiPt

BaAcBiPt after structural relaxation (PBE, Alexandria).

The energy comes out at -76.0 eV per cell.

It has space group F-43m (No. 216), with a = 8.090 Å, b = 8.090 Å, c = 8.090 Å, α = 90.00°, β = 90.00° and γ = 90.00°. Symmetry generates all atoms from Ba at (0.000, 0.000, 0.000), Ac at (0.000, 0.000, 0.500), Bi at (0.250, 0.250, 0.250) and Pt at (0.250, 0.250, 0.750).

***

No. 2
# BaAcSnBi

BaAcSnBi after structural relaxation (PBE, Alexandria).

The energy comes out at -65.2 eV per cell.

It has space group F-43m (No. 216), with a = 8.438 Å, b = 8.438 Å, c = 8.438 Å, α = 90.00°, β = 90.00° and γ = 90.00°. Symmetry generates all atoms from Ba at (0.000, 0.000, 0.000), Ac at (0.000, 0.000, 0.500), Sn at (0.250, 0.250, 0.750) and Bi at (0.250, 0.250, 0.250).

***

No. 3
# BaAc2Br8

BaAc2Br8 after structural relaxation (PBE, Alexandria).

As for the uncorrected formation energy: -2189.0 kJ/mol of formula units.

It has space group C2/m (No. 12), with a = 20.393 Å, b = 4.953 Å, c = 7.789 Å, α = 90.00°, β = 107.11° and γ = 90.00°. Symmetry generates all atoms from Ba at (0.000, 0.000, 0.000), Ac at (0.183, 0.500, 0.693), Br at (0.041, 0.500, 0.785), Br at (0.100, 0.000, 0.469), Br at (0.178, 0.000, 0.968) and Br at (0.212, 0.500, 0.321).

***

No. 4
# BaAcBr2

BaAcBr2 after structural relaxation (PBE, Alexandria).

As for the uncorrected formation energy: -486.4 kJ/mol of formula units.

It has space group R-3m (No. 166, hexagonal axes), with a = 4.1175 Å, b = 4.1175 Å, c = 33.4140 Å, α = 90.00°, β = 90.00° and γ = 120.00°. Symmetry generates all atoms from Ba at (0.0000, 0.0000, 0.0000), Ac at (0.0000, 0.0000, 0.5000) and Br at (0.0000, 0.0000, 0.0987).

***

No. 5
# Ba2AcBr8

Ba2AcBr8 after structural relaxation (PBE, Alexandria).

As for the uncorrected formation energy: -1916.0 kJ/mol of formula units.

It has space group Immm (No. 71), with a = 5.432 Å, b = 8.598 Å, c = 15.924 Å, α = 90.00°, β = 90.00° and γ = 90.00°. Symmetry generates all atoms from Ba at (0.000, 0.000, 0.188), Ac at (0.000, 0.000, 0.500), Br at (0.000, 0.170, 0.000), Br at (0.000, 0.262, 0.344) and Br at (0.000, 0.500, 0.113).

***

No. 6
# BaAcGaBr

BaAcGaBr after structural relaxation (PBE, Alexandria).

As for the uncorrected formation energy: -269.3 kJ/mol of formula units.

It has space group F-43m (No. 216), with a = 8.137 Å, b = 8.137 Å, c = 8.137 Å, α = 90.00°, β = 90.00° and γ = 90.00°. Symmetry generates all atoms from Ba at (0.000, 0.000, 0.000), Ac at (0.000, 0.000, 0.500), Ga at (0.250, 0.250, 0.750) and Br at (0.250, 0.250, 0.250).

***

No. 7
# KBaAcBr6

KBaAcBr6 after structural relaxation (PBE, Alexandria).

As for the uncorrected formation energy: -1744.8 kJ/mol of formula units.

It has space group P-31c (No. 163), with a = 8.2656 Å, b = 8.2656 Å, c = 13.7870 Å, α = 90.00°, β = 90.00° and γ = 120.00°. Symmetry generates all atoms from K at (0.0000, 0.0000, 0.0000), Ba at (0.3333, 0.6667, 0.2500), Ac at (0.3333, 0.6667, 0.7500) and Br at (0.0187, 0.3636, 0.6288).

***

No. 8
# BaAcBrN

BaAcBrN after structural relaxation (PBE, Alexandria).

As for the uncorrected formation energy: -483.9 kJ/mol of formula units.

It has space group R3m (No. 160, hexagonal axes), with a = 4.0951 Å, b = 4.0951 Å, c = 24.0816 Å, α = 90.00°, β = 90.00° and γ = 120.00°. Symmetry generates all atoms from Ba at (0.0000, 0.0000, 0.0000), Ac at (0.0000, 0.0000, 0.7916), Br at (0.0000, 0.0000, 0.2275) and N at (0.0000, 0.0000, 0.4191).

***

No. 9
# Ba2AcBr2N2

Ba2AcBr2N2 after structural relaxation (PBE, Alexandria).

As for the uncorrected formation energy: -871.7 kJ/mol of formula units.

It has space group I4/mmm (No. 139), with a = 4.847 Å, b = 4.847 Å, c = 17.050 Å, α = 90.00°, β = 90.00° and γ = 90.00°. Symmetry generates all atoms from Ba at (0.000, 0.000, 0.108), Ac at (0.000, 0.000, 0.500), Br at (0.000, 0.000, 0.314) and N at (0.000, 0.500, 0.000).

***

No. 10
# BaAcBr2N

BaAcBr2N after structural relaxation (PBE, Alexandria).

As for the uncorrected formation energy: -744.1 kJ/mol of formula units.

It has space group P4/nmm (No. 129, origin choice 2), with a = 4.475 Å, b = 4.475 Å, c = 17.303 Å, α = 90.00°, β = 90.00° and γ = 90.00°. Symmetry generates all atoms from Ba at (0.250, 0.250, 0.128), Ac at (0.250, 0.250, 0.565), Br at (0.250, 0.250, 0.302), Br at (0.250, 0.250, 0.920) and N at (0.250, 0.750, 0.500).

***

No. 11
# BaAcPbBr

BaAcPbBr after structural relaxation (PBE, Alexandria).

As for the uncorrected formation energy: -360.4 kJ/mol of formula units.

It has space group F-43m (No. 216), with a = 8.357 Å, b = 8.357 Å, c = 8.357 Å, α = 90.00°, β = 90.00° and γ = 90.00°. Symmetry generates all atoms from Ba at (0.000, 0.000, 0.000), Ac at (0.000, 0.000, 0.500), Pb at (0.250, 0.250, 0.250) and Br at (0.250, 0.250, 0.750).

***

No. 12
# BaAcPtBr

BaAcPtBr after structural relaxation (PBE, Alexandria).

As for the uncorrected formation energy: -508.7 kJ/mol of formula units.

It has space group R3m (No. 160, hexagonal axes), with a = 4.4561 Å, b = 4.4561 Å, c = 25.5060 Å, α = 90.00°, β = 90.00° and γ = 120.00°. Symmetry generates all atoms from Ba at (0.0000, 0.0000, 0.0000), Ac at (0.0000, 0.0000, 0.8017), Pt at (0.0000, 0.0000, 0.4092) and Br at (0.0000, 0.0000, 0.2312).

***

No. 13
# BaAcSbBr

BaAcSbBr after structural relaxation (PBE, Alexandria).

As for the uncorrected formation energy: -478.7 kJ/mol of formula units.

It has space group F-43m (No. 216), with a = 8.182 Å, b = 8.182 Å, c = 8.182 Å, α = 90.00°, β = 90.00° and γ = 90.00°. Symmetry generates all atoms from Ba at (0.000, 0.000, 0.000), Ac at (0.000, 0.000, 0.500), Sb at (0.250, 0.250, 0.250) and Br at (0.250, 0.250, 0.750).

***

| no. | total magnetic moment (μB/atom) |
| --- | --- |
| 1 | 0.000 |
| 2 | 0.000 |
| 3 | 0.000 |
| 4 | 0.001 |
| 5 | 0.078 |
| 6 | 0.001 |
| 7 | 0.000 |
| 8 | 0.235 |
| 9 | 0.050 |
| 10 | 0.047 |
| 11 | 0.000 |
| 12 | 0.000 |
| 13 | 0.000 |